[1]
# Ho8Sn2Os (PBE-GGA, relaxed)
data_Ho8Sn2Os
_symmetry_space_group_name_H-M 'C 1 2/m 1'
_symmetry_Int_Tables_number 12
_cell_length_a 19.2192
_cell_length_b 5.0008
_cell_length_c 6.6120
_cell_angle_alpha 90.00
_cell_angle_beta 106.42
_cell_angle_gamma 90.00
loop_
_symmetry_equiv_pos_as_xyz
'x,y,z'
'-x,-y,-z'
'-x,y,-z'
'x,-y,z'
'x+1/2,y+1/2,z'
'-x+1/2,-y+1/2,-z'
'-x+1/2,y+1/2,-z'
'x+1/2,-y+1/2,z'
loop_
_atom_site_label
_atom_site_fract_x
_atom_site_fract_y
_atom_site_fract_z
Ho1 0.0207 0.0000 0.2899
Ho2 0.0883 0.5000 0.9512
Ho3 0.1450 0.5000 0.4956
Ho4 0.2182 0.0000 0.8182
Sn1 0.1809 0.0000 0.2517
Os1 0.0000 0.5000 0.5000
# DFT total energy   -5.4380 eV per atom
# Calculated formation energy   -0.360 eV/atom

---

[2]
# Ce2TlZnIr (PBE-GGA, relaxed)
data_Ce2TlZnIr
_symmetry_space_group_name_H-M 'P 1 21/m 1'
_symmetry_Int_Tables_number 11
_cell_length_a 7.4321
_cell_length_b 4.3862
_cell_length_c 7.8333
_cell_angle_alpha 90.00
_cell_angle_beta 107.71
_cell_angle_gamma 90.00
loop_
_symmetry_equiv_pos_as_xyz
'x,y,z'
'-x,-y,-z'
'-x,y+1/2,-z'
'x,-y+1/2,z'
loop_
_atom_site_label
_atom_site_fract_x
_atom_site_fract_y
_atom_site_fract_z
Ce1 0.1286 0.2500 0.3338
Ce2 0.2916 0.2500 0.9683
Tl1 0.3131 0.7500 0.6579
Zn1 0.4491 0.7500 0.3331
Ir1 0.1218 0.7500 0.0936
# DFT total energy   -5.3145 eV per atom
# Calculated formation energy   -0.441 eV/atom

---

[3]
# Rb4As2H (PBE-GGA, relaxed)
data_Rb4As2H
_symmetry_space_group_name_H-M 'C 1 2/m 1'
_symmetry_Int_Tables_number 12
_cell_length_a 10.2098
_cell_length_b 5.8844
_cell_length_c 9.2687
_cell_angle_alpha 90.00
_cell_angle_beta 111.47
_cell_angle_gamma 90.00
loop_
_symmetry_equiv_pos_as_xyz
'x,y,z'
'-x,-y,-z'
'-x,y,-z'
'x,-y,z'
'x+1/2,y+1/2,z'
'-x+1/2,-y+1/2,-z'
'-x+1/2,y+1/2,-z'
'x+1/2,-y+1/2,z'
loop_
_atom_site_label
_atom_site_fract_x
_atom_site_fract_y
_atom_site_fract_z
Rb1 0.1338 0.0000 0.4026
Rb2 0.2070 0.5000 0.1221
As1 0.0714 0.5000 0.7125
H1 0.0000 0.5000 0.5000
# DFT total energy   -2.5600 eV per atom

---

[4]
# PrHoCuRh (PBE-GGA, relaxed)
data_PrHoCuRh
_symmetry_space_group_name_H-M 'A m m 2'
_symmetry_Int_Tables_number 38
_cell_length_a 4.4223
_cell_length_b 3.8601
_cell_length_c 10.5846
_cell_angle_alpha 90.00
_cell_angle_beta 90.00
_cell_angle_gamma 90.00
loop_
_symmetry_equiv_pos_as_xyz
'x,y,z'
'-x,-y,z'
'-x,y,z'
'x,-y,z'
'x,y+1/2,z+1/2'
'-x,-y+1/2,z+1/2'
'-x,y+1/2,z+1/2'
'x,-y+1/2,z+1/2'
loop_
_atom_site_label
_atom_site_fract_x
_atom_site_fract_y
_atom_site_fract_z
Pr1 0.0000 0.0000 0.0000
Ho1 0.5000 0.0000 0.7225
Cu1 0.5000 0.0000 0.4288
Rh1 0.0000 0.0000 0.2745
# DFT total energy   -5.7072 eV per atom
# Calculated formation energy   -0.506 eV/atom

---

Number 1: Fermi-level density of states 0.818 states/eV per atom, spin magnetization 0.000 μB per atom. Number 2: Fermi-level density of states 1.980 states/eV per atom, spin magnetization 0.208 μB per atom. Number 3: Fermi-level density of states 0.634 states/eV per atom, spin magnetization 0.150 μB per atom. Number 4: Fermi-level density of states 0.727 states/eV per atom, spin magnetization 0.000 μB per atom.